Density functional theory data (PBE-GGA) for crystalline BaInBiAu2 at its relaxed geometry.

## Properties
total magnetization = 0.00 μB/cell
energy of formation from the pure elements = -0.520 eV per atom

a b c (Å): 4.801 4.801 12.408
angles (deg): 90.00 90.00 90.00
Sites, in units of the cell vectors:
Ba1 0.000 0.000 0.000
Ba2 0.500 0.500 0.500
In1 0.000 0.500 0.750
In2 0.500 0.000 0.250
Bi1 0.000 0.500 0.250
Bi2 0.500 0.000 0.750
Au1 0.000 0.000 0.389
Au2 0.000 0.000 0.611
Au3 0.500 0.500 0.111
Au4 0.500 0.500 0.889

=====

Density functional theory data (PBE-GGA) for crystalline Pm2DyHoAs4 at its relaxed geometry.

## Properties
total magnetization = 0.00 μB/cell
energy of formation from the pure elements = -1.526 eV per atom

a b c (Å): 7.226 4.177 7.230
angles (deg): 90.00 109.48 90.00
Sites, in units of the cell vectors:
Pm1 0.000 0.000 0.000
Pm2 0.000 0.500 0.500
Dy1 0.500 0.000 0.500
Ho1 0.500 0.500 0.000
As1 0.258 0.000 0.753
As2 0.258 0.500 0.252
As3 0.742 0.000 0.247
As4 0.742 0.500 0.748

=====

Density functional theory data (PBE-GGA) for crystalline Tl2NiH at its relaxed geometry.

## Properties
energy = -0.10689 Ha/atom
total magnetization = 0.00 μB/cell

a b c (Å): 5.335 5.335 12.425
angles (deg): 90.00 90.00 90.00
Sites, in units of the cell vectors:
Tl1 0.210 0.250 0.125
Tl2 0.250 0.710 0.375
Tl3 0.250 0.790 0.875
Tl4 0.290 0.250 0.625
Tl5 0.710 0.750 0.625
Tl6 0.750 0.210 0.875
Tl7 0.750 0.290 0.375
Tl8 0.790 0.750 0.125
Ni1 0.000 0.000 0.500
Ni2 0.000 0.500 0.750
Ni3 0.500 0.000 0.250
Ni4 0.500 0.500 0.000
H1 0.000 0.000 0.000
H2 0.000 0.500 0.250
H3 0.500 0.000 0.750
H4 0.500 0.500 0.500